Record 1
# BaNi2Pt, relaxed, DFT PBE
# **Energy of formation from the pure elements**: 0.430 eV per atom
data_BaNi2Pt
_cell_length_a 4.193
_cell_length_b 4.193
_cell_length_c 8.503
_cell_angle_alpha 90.00
_cell_angle_beta 90.00
_cell_angle_gamma 90.00
_symmetry_space_group_name_H-M 'I -4 m 2'
_symmetry_Int_Tables_number 119
_symmetry_space_group_name_Hall 'I -4 -2'
loop_
_atom_site_label
_atom_site_type_symbol
_atom_site_fract_x
_atom_site_fract_y
_atom_site_fract_z
Ba1 Ba 0.000 0.000 0.000
Ni1 Ni 0.000 0.000 0.500
Ni2 Ni 0.000 0.500 0.750
Pt1 Pt 0.000 0.500 0.250

=====

Record 2
# Sb3HRu, relaxed, DFT PBE
# **Energy above the most stable polymorph in this dataset**: 0.60 eV per formula unit
data_Sb3HRu
_cell_length_a 5.112
_cell_length_b 5.112
_cell_length_c 5.112
_cell_angle_alpha 90.00
_cell_angle_beta 90.00
_cell_angle_gamma 90.00
_symmetry_space_group_name_H-M 'P m -3 m'
_symmetry_Int_Tables_number 221
_symmetry_space_group_name_Hall '-P 4 2 3'
loop_
_atom_site_label
_atom_site_type_symbol
_atom_site_fract_x
_atom_site_fract_y
_atom_site_fract_z
Sb1 Sb 0.000 0.000 0.500
H1 H 0.500 0.500 0.500
Ru1 Ru 0.000 0.000 0.000

=====

Record 3
# KMnCu2Br8, relaxed, DFT PBE
# **E_form (uncorrected)**: -0.54 eV/atom
data_KMnCu2Br8
_cell_length_a 6.4986
_cell_length_b 6.4986
_cell_length_c 30.3970
_cell_angle_alpha 90.00
_cell_angle_beta 90.00
_cell_angle_gamma 120.00
_symmetry_space_group_name_H-M 'R 3 2'
_symmetry_Int_Tables_number 155
_symmetry_space_group_name_Hall 'R 3 2"'
loop_
_atom_site_label
_atom_site_type_symbol
_atom_site_fract_x
_atom_site_fract_y
_atom_site_fract_z
K1 K 0.0000 0.0000 0.0000
Mn1 Mn 0.0000 0.0000 0.5000
Cu1 Cu 0.0000 0.0000 0.2420
Br1 Br 0.0000 0.0000 0.3195
Br2 Br 0.0135 0.3117 0.5557

=====

Record 4
# InRh2O6, relaxed, DFT PBE
# **E_form (uncorrected)**: -0.70 eV/atom
data_InRh2O6
_cell_length_a 5.5232
_cell_length_b 5.5232
_cell_length_c 4.6983
_cell_angle_alpha 90.00
_cell_angle_beta 90.00
_cell_angle_gamma 120.00
_symmetry_space_group_name_H-M 'P -3 1 m'
_symmetry_Int_Tables_number 162
_symmetry_space_group_name_Hall '-P 3 2'
loop_
_atom_site_label
_atom_site_type_symbol
_atom_site_fract_x
_atom_site_fract_y
_atom_site_fract_z
In1 In 0.0000 0.0000 0.0000
Rh1 Rh 0.3333 0.6667 0.0000
O1 O 0.0000 0.3596 0.7976

=====

Record 5
# AcErTlGa, relaxed, DFT PBE
# **Energy of formation from the pure elements**: -0.352 eV per atom
data_AcErTlGa
_cell_length_a 7.735
_cell_length_b 7.735
_cell_length_c 7.735
_cell_angle_alpha 90.00
_cell_angle_beta 90.00
_cell_angle_gamma 90.00
_symmetry_space_group_name_H-M 'F -4 3 m'
_symmetry_Int_Tables_number 216
_symmetry_space_group_name_Hall 'F -4 2 3'
loop_
_atom_site_label
_atom_site_type_symbol
_atom_site_fract_x
_atom_site_fract_y
_atom_site_fract_z
Ac1 Ac 0.000 0.000 0.000
Er1 Er 0.000 0.000 0.500
Tl1 Tl 0.250 0.250 0.750
Ga1 Ga 0.250 0.250 0.250

=====

Record 6
# KBPb, relaxed, DFT PBE
# **Energy above the most stable polymorph in this dataset**: 0.29 eV per formula unit
# **Energy of formation from the pure elements**: 0.236 eV per atom
data_KBPb
_cell_length_a 12.143
_cell_length_b 3.228
_cell_length_c 8.678
_cell_angle_alpha 90.00
_cell_angle_beta 90.00
_cell_angle_gamma 90.00
_symmetry_space_group_name_H-M 'P n m a'
_symmetry_Int_Tables_number 62
_symmetry_space_group_name_Hall '-P 2ac 2n'
loop_
_atom_site_label
_atom_site_type_symbol
_atom_site_fract_x
_atom_site_fract_y
_atom_site_fract_z
K1 K 0.240 0.250 0.042
B1 B 0.000 0.000 0.000
Pb1 Pb 0.011 0.750 0.304

=====

Record 7
# KSrOF, relaxed, DFT PBE
# **E_form (uncorrected)**: -2.65 eV/atom
data_KSrOF
_cell_length_a 3.7548
_cell_length_b 3.7548
_cell_length_c 18.8776
_cell_angle_alpha 90.00
_cell_angle_beta 90.00
_cell_angle_gamma 120.00
_symmetry_space_group_name_H-M 'R 3 m'
_symmetry_Int_Tables_number 160
_symmetry_space_group_name_Hall 'R 3 -2"'
loop_
_atom_site_label
_atom_site_type_symbol
_atom_site_fract_x
_atom_site_fract_y
_atom_site_fract_z
K1 K 0.0000 0.0000 0.0000
Sr1 Sr 0.0000 0.0000 0.4870
O1 O 0.0000 0.0000 0.7615
F1 F 0.0000 0.0000 0.2382

=====

Record 8
# Mg2AuCl, relaxed, DFT PBE
# **Energy above the most stable polymorph in this dataset**: 1.55 eV per formula unit
# **E_form (uncorrected)**: -0.46 eV/atom
data_Mg2AuCl
_cell_length_a 4.573
_cell_length_b 4.573
_cell_length_c 7.732
_cell_angle_alpha 90.00
_cell_angle_beta 90.00
_cell_angle_gamma 90.00
_symmetry_space_group_name_H-M 'I 4/m m m'
_symmetry_Int_Tables_number 139
_symmetry_space_group_name_Hall '-I 4 2'
loop_
_atom_site_label
_atom_site_type_symbol
_atom_site_fract_x
_atom_site_fract_y
_atom_site_fract_z
Mg1 Mg 0.000 0.500 0.250
Au1 Au 0.000 0.000 0.000
Cl1 Cl 0.000 0.000 0.500